# 1
An optimized crystal structure of NaNdGd2, computed with GGA-PBE.

Computed properties:
Energy of formation, eV/atom: 0.1176
Total magnetization, μB per formula unit: 14.91
Offset from the most stable computed form, meV/atom: 0

Unit cell a=3.5670 b=3.5670 c=10.7366 alpha=90.00 beta=90.00 gamma=90.00
Fractional coordinates of all 4 atoms:
Na (0.0000, 0.0000, 0.0000)
Nd (0.0000, 0.0000, 0.5000)
Gd (0.5000, 0.5000, 0.2665)
Gd (0.5000, 0.5000, 0.7335)

=====

# 2
An optimized crystal structure of Ta2TlP, computed with GGA-PBE.

Computed properties:
Energy of formation, eV/atom: 0.4192
Total magnetization, μB per formula unit: 0.00
Offset from the most stable computed form, meV/atom: 484

Unit cell a=4.7176 b=4.7176 c=3.1995 alpha=90.00 beta=90.00 gamma=90.00
Fractional coordinates of all 4 atoms:
Ta (0.0000, 0.5000, 0.0000)
Ta (0.5000, 0.0000, 0.0000)
Tl (0.0000, 0.0000, 0.5000)
P (0.5000, 0.5000, 0.5000)

=====

# 3
An optimized crystal structure of DyEr3As4, computed with GGA-PBE.

Computed properties:
Energy of formation, eV/atom: -1.5274
Total magnetization, μB per formula unit: 0.00
Offset from the most stable computed form, meV/atom: 0

Unit cell a=5.7824 b=5.7824 c=5.7824 alpha=90.00 beta=90.00 gamma=90.00
Fractional coordinates of all 8 atoms:
Dy (0.0000, 0.0000, 0.0000)
Er (0.0000, 0.5000, 0.5000)
Er (0.5000, 0.0000, 0.5000)
Er (0.5000, 0.5000, 0.0000)
As (0.0000, 0.0000, 0.5000)
As (0.0000, 0.5000, 0.0000)
As (0.5000, 0.0000, 0.0000)
As (0.5000, 0.5000, 0.5000)

=====

# 4
An optimized crystal structure of CuMoOs, computed with GGA-PBE.

Computed properties:
Energy of formation, eV/atom: 0.2998
Total magnetization, μB per formula unit: 0.00
Offset from the most stable computed form, meV/atom: 158

Unit cell a=5.0231 b=5.0231 c=7.5443 alpha=90.00 beta=90.00 gamma=116.97
Fractional coordinates of all 12 atoms:
Cu (0.1192, 0.8808, 0.9180)
Cu (0.3808, 0.6192, 0.4180)
Cu (0.6192, 0.3808, 0.5820)
Cu (0.8808, 0.1192, 0.0820)
Mo (0.1182, 0.3818, 0.7500)
Mo (0.3818, 0.1182, 0.2500)
Mo (0.6182, 0.8818, 0.7500)
Mo (0.8818, 0.6182, 0.2500)
Os (0.1283, 0.8717, 0.5842)
Os (0.3717, 0.6283, 0.0842)
Os (0.6283, 0.3717, 0.9158)
Os (0.8717, 0.1283, 0.4158)

=====

# 5
An optimized crystal structure of NbGaRu, computed with GGA-PBE.

Computed properties:
Energy of formation, eV/atom: -0.2810
Total magnetization, μB per formula unit: 0.00

Unit cell a=4.3397 b=4.3397 c=2.9064 alpha=90.00 beta=90.00 gamma=120.00
Fractional coordinates of all 3 atoms:
Nb (0.0000, 0.0000, 0.0000)
Ga (0.3333, 0.6667, 0.5006)
Ru (0.6667, 0.3333, 0.4978)

=====

# 6
An optimized crystal structure of Ce4Nd2Ge3O2, computed with GGA-PBE.

Computed properties:
Formation energy (no corrections), eV/atom: -1.45
Total magnetization, μB per formula unit: 2.73

Unit cell a=12.6909 b=12.6909 c=12.6909 alpha=158.89 beta=158.89 gamma=30.04
Fractional coordinates of all 11 atoms:
Ce (0.0807, 0.5807, 0.5000)
Ce (0.4193, 0.9193, 0.5000)
Ce (0.5807, 0.0807, 0.5000)
Ce (0.9193, 0.4193, 0.5000)
Nd (0.2006, 0.2006, 0.0000)
Nd (0.7994, 0.7994, 0.0000)
Ge (0.3275, 0.3275, 0.0000)
Ge (0.5000, 0.5000, 0.0000)
Ge (0.6725, 0.6725, 0.0000)
O (0.0988, 0.0988, 0.0000)
O (0.9012, 0.9012, 0.0000)

=====

# 7
An optimized crystal structure of Si2HRh, computed with GGA-PBE.

Computed properties:
Total magnetization, μB per formula unit: 0.00
Raw total energy, eV/atom: -5.2212

Unit cell a=4.2881 b=4.2881 c=11.4103 alpha=90.00 beta=90.00 gamma=90.00
Fractional coordinates of all 16 atoms:
Si (0.1460, 0.2500, 0.1250)
Si (0.2500, 0.6460, 0.3750)
Si (0.2500, 0.8540, 0.8750)
Si (0.3540, 0.2500, 0.6250)
Si (0.6460, 0.7500, 0.6250)
Si (0.7500, 0.1460, 0.8750)
Si (0.7500, 0.3540, 0.3750)
Si (0.8540, 0.7500, 0.1250)
H (0.0000, 0.0000, 0.0000)
H (0.0000, 0.5000, 0.2500)
H (0.5000, 0.0000, 0.7500)
H (0.5000, 0.5000, 0.5000)
Rh (0.0000, 0.0000, 0.5000)
Rh (0.0000, 0.5000, 0.7500)
Rh (0.5000, 0.0000, 0.2500)
Rh (0.5000, 0.5000, 0.0000)

=====

# 8
An optimized crystal structure of CeZr2Sn, computed with GGA-PBE.

Computed properties:
Energy of formation, eV/atom: -0.3605
Total magnetization, μB per formula unit: 1.18
Offset from the most stable computed form, meV/atom: 0

Unit cell a=4.4081 b=22.0277 c=4.3959 alpha=90.00 beta=90.00 gamma=90.00
Fractional coordinates of all 16 atoms:
Ce (0.0000, 0.1948, 0.2500)
Ce (0.0000, 0.8052, 0.7500)
Ce (0.5000, 0.3052, 0.7500)
Ce (0.5000, 0.6948, 0.2500)
Zr (0.0000, 0.0521, 0.7500)
Zr (0.0000, 0.4487, 0.7500)
Zr (0.0000, 0.5513, 0.2500)
Zr (0.0000, 0.9479, 0.2500)
Zr (0.5000, 0.0513, 0.2500)
Zr (0.5000, 0.4479, 0.2500)
Zr (0.5000, 0.5521, 0.7500)
Zr (0.5000, 0.9487, 0.7500)
Sn (0.0000, 0.3460, 0.2500)
Sn (0.0000, 0.6540, 0.7500)
Sn (0.5000, 0.1540, 0.7500)
Sn (0.5000, 0.8460, 0.2500)

=====

# 9
An optimized crystal structure of LaBi3, computed with GGA-PBE.

Computed properties:
Energy of formation, eV/atom: -0.5324
Total magnetization, μB per formula unit: 0.00

Unit cell a=4.7492 b=4.7492 c=11.3185 alpha=90.00 beta=90.00 gamma=90.00
Fractional coordinates of all 8 atoms:
La (0.0000, 0.0000, 0.0000)
La (0.5000, 0.5000, 0.5000)
Bi (0.0000, 0.0000, 0.5000)
Bi (0.0000, 0.5000, 0.2500)
Bi (0.0000, 0.5000, 0.7500)
Bi (0.5000, 0.0000, 0.2500)
Bi (0.5000, 0.0000, 0.7500)
Bi (0.5000, 0.5000, 0.0000)

=====

# 10
An optimized crystal structure of TlInSbAu2, computed with GGA-PBE.

Computed properties:
Formation energy (no corrections), eV/atom: -0.08
Total magnetization, μB per formula unit: 0.00

Unit cell a=8.1691 b=8.1691 c=8.4552 alpha=119.05 beta=119.05 gamma=32.74
Fractional coordinates of all 10 atoms:
Tl (0.2447, 0.2447, 0.3219)
Tl (0.7553, 0.7553, 0.6781)
In (0.4448, 0.4448, 0.7692)
In (0.5552, 0.5552, 0.2308)
Sb (0.1298, 0.1298, 0.8157)
Sb (0.8702, 0.8702, 0.1843)
Au (0.0798, 0.0798, 0.4451)
Au (0.3471, 0.3471, 0.9783)
Au (0.6529, 0.6529, 0.0217)
Au (0.9202, 0.9202, 0.5549)